No. 1
Rb3HgSb: optimized geometry, PBE.

The relative energy among the computed polymorphs comes out at 0.000 eV per atom. The value obtained for the uncorrected formation energy is -0.34 eV per atom. The raw total energy comes out at -1.8072 eV/atom. The total magnetic moment is 0.00 μB/atom.

The space group is P2_1/c (No. 14) and the conventional cell measures 8.387, 9.599 and 11.982 Å, with angles of 90.00, 92.48 and 90.00 degrees. Symmetry generates all atoms from Rb at (0.172, 0.178, 0.389), Rb at (0.215, 0.524, 0.605), Rb at (0.262, 0.534, 0.163), Hg at (0.443, 0.744, 0.918) and Sb at (0.100, 0.718, 0.870).

No. 2
RbHg4Sb2: optimized geometry, PBE.

The relative energy among the computed polymorphs comes out at 0.045 eV per atom. The value obtained for the uncorrected formation energy is -0.06 eV per atom. The raw total energy comes out at -1.5463 eV/atom. The total magnetic moment is 0.00 μB/atom.

The space group is R-3m (No. 166, hexagonal axes) and the conventional cell measures 4.8494, 4.8494 and 38.0370 Å, with angles of 90.00, 90.00 and 120.00 degrees. Symmetry generates all atoms from Rb at (0.0000, 0.0000, 0.0000), Hg at (0.0000, 0.0000, 0.1825), Hg at (0.0000, 0.0000, 0.4093) and Sb at (0.0000, 0.0000, 0.2632).

No. 3
Rb2Hg3Sb: optimized geometry, PBE.

The value obtained for the uncorrected formation energy is -0.30 eV per atom. The raw total energy comes out at -1.4592 eV/atom. The total magnetic moment is 0.00 μB/atom.

The space group is Fmmm (No. 69) and the conventional cell measures 9.617, 10.466 and 18.156 Å, with angles of 90.00, 90.00 and 90.00 degrees. Symmetry generates all atoms from Rb at (0.236, 0.000, 0.000), Rb at (0.250, 0.250, 0.250), Hg at (0.000, 0.000, 0.170), Hg at (0.000, 0.246, 0.416) and Sb at (0.000, 0.000, 0.337).

No. 4
RbHgSb: optimized geometry, PBE.

The value obtained for the uncorrected formation energy is -0.15 eV per atom. The raw total energy comes out at -1.9506 eV/atom. The total magnetic moment is 0.00 μB/atom.

The space group is I4mm (No. 107) and the conventional cell measures 4.253, 4.253 and 12.867 Å, with angles of 90.00, 90.00 and 90.00 degrees. Symmetry generates all atoms from Rb at (0.000, 0.000, 0.000), Hg at (0.000, 0.000, 0.739) and Sb at (0.000, 0.000, 0.277).

No. 5
RbHg6Sb2: optimized geometry, PBE.

The value obtained for the uncorrected formation energy is -0.05 eV per atom. The raw total energy comes out at -1.2777 eV/atom. The total magnetic moment is 0.00 μB/atom.

The space group is P4/mmm (No. 123) and the conventional cell measures 5.262, 5.262 and 9.998 Å, with angles of 90.00, 90.00 and 90.00 degrees. Symmetry generates all atoms from Rb at (0.000, 0.000, 0.000), Hg at (0.000, 0.000, 0.500), Hg at (0.000, 0.500, 0.308), Hg at (0.500, 0.500, 0.500) and Sb at (0.500, 0.500, 0.142).

No. 6
Rb2Hg2Sb: optimized geometry, PBE.

The relative energy among the computed polymorphs comes out at 0.088 eV per atom. The value obtained for the uncorrected formation energy is -0.24 eV per atom. The raw total energy comes out at -1.5680 eV/atom. The total magnetic moment is 0.00 μB/atom.

The space group is I4/mmm (No. 139) and the conventional cell measures 7.073, 7.073 and 8.772 Å, with angles of 90.00, 90.00 and 90.00 degrees. Symmetry generates all atoms from Rb at (0.000, 0.500, 0.250), Hg at (0.000, 0.000, 0.167) and Sb at (0.000, 0.000, 0.500).

No. 7
RbHgSb3: optimized geometry, PBE.

The relative energy among the computed polymorphs comes out at 1.436 eV per atom. The value obtained for the uncorrected formation energy is 1.31 eV per atom. The raw total energy comes out at -1.4147 eV/atom. The total magnetic moment is 0.00 μB/atom.

The space group is Pm-3m (No. 221) and the conventional cell measures 6.176, 6.176 and 6.176 Å, with angles of 90.00, 90.00 and 90.00 degrees. Symmetry generates all atoms from Rb at (0.000, 0.000, 0.000), Hg at (0.500, 0.500, 0.500) and Sb at (0.000, 0.000, 0.500).

No. 8
Rb12Hg5Sb3: optimized geometry, PBE.

The value obtained for the uncorrected formation energy is -0.15 eV per atom. The raw total energy comes out at -1.4224 eV/atom. The total magnetic moment is 0.00 μB/atom.

The space group is Ia-3d (No. 230) and the conventional cell measures 21.252, 21.252 and 21.252 Å, with angles of 90.00, 90.00 and 90.00 degrees. Symmetry generates all atoms from Rb at (0.015, 0.079, 0.655), Hg at (0.000, 0.000, 0.000), Hg at (0.000, 0.250, 0.375) and Sb at (0.000, 0.250, 0.125).

No. 9
Rb3Hg5Sb2: optimized geometry, PBE.

The value obtained for the uncorrected formation energy is -0.23 eV per atom. The raw total energy comes out at -1.4930 eV/atom. The total magnetic moment is 0.00 μB/atom.

The space group is Ibam (No. 72) and the conventional cell measures 11.989, 16.513 and 7.547 Å, with angles of 90.00, 90.00 and 90.00 degrees. Symmetry generates all atoms from Rb at (0.000, 0.000, 0.250), Rb at (0.218, 0.367, 0.000), Hg at (0.000, 0.224, 0.250), Hg at (0.000, 0.500, 0.250), Hg at (0.095, 0.358, 0.500) and Sb at (0.155, 0.151, 0.000).

No. 10
Rb2HgSb2: optimized geometry, PBE.

The relative energy among the computed polymorphs comes out at 0.193 eV per atom. The value obtained for the uncorrected formation energy is -0.14 eV per atom. The raw total energy comes out at -2.2380 eV/atom. The total magnetic moment is 0.00 μB/atom.

The space group is I4/mmm (No. 139) and the conventional cell measures 7.107, 7.107 and 9.786 Å, with angles of 90.00, 90.00 and 90.00 degrees. Symmetry generates all atoms from Rb at (0.000, 0.500, 0.250), Hg at (0.000, 0.000, 0.000) and Sb at (0.000, 0.000, 0.362).

No. 11
Rb3Hg3Sb2: optimized geometry, PBE.

The value obtained for the uncorrected formation energy is -0.29 eV per atom. The raw total energy comes out at -1.7986 eV/atom. The total magnetic moment is 0.00 μB/atom.

The space group is Pnma (No. 62) and the conventional cell measures 9.722, 17.939 and 7.195 Å, with angles of 90.00, 90.00 and 90.00 degrees. Symmetry generates all atoms from Rb at (0.031, 0.102, 0.127), Rb at (0.150, 0.250, 0.645), Hg at (0.168, 0.037, 0.604), Hg at (0.190, 0.750, 0.649) and Sb at (0.127, 0.593, 0.361).

No. 12
Rb2HgSb2: optimized geometry, PBE.

The relative energy among the computed polymorphs comes out at 0.160 eV per atom. The value obtained for the uncorrected formation energy is -0.17 eV per atom. The raw total energy comes out at -2.2712 eV/atom. The total magnetic moment is 0.00 μB/atom.

The space group is I4/mmm (No. 139) and the conventional cell measures 4.356, 4.356 and 22.420 Å, with angles of 90.00, 90.00 and 90.00 degrees. Symmetry generates all atoms from Rb at (0.000, 0.000, 0.111), Hg at (0.000, 0.000, 0.500) and Sb at (0.000, 0.500, 0.250).

No. 13
RbHgSb: optimized geometry, PBE.

The value obtained for the uncorrected formation energy is -0.36 eV per atom. The raw total energy comes out at -2.1615 eV/atom. The total magnetic moment is 0.00 μB/atom.

The space group is P3m1 (No. 156) and the conventional cell measures 4.9077, 4.9077 and 5.6370 Å, with angles of 90.00, 90.00 and 120.00 degrees. Symmetry generates all atoms from Rb at (0.0000, 0.0000, 0.0000), Hg at (0.3333, 0.6667, 0.5029) and Sb at (0.6667, 0.3333, 0.4982).

No. 14
Rb2Hg2Sb: optimized geometry, PBE.

The relative energy among the computed polymorphs comes out at 0.000 eV per atom. The value obtained for the uncorrected formation energy is -0.32 eV per atom. The raw total energy comes out at -1.6559 eV/atom. The total magnetic moment is 0.00 μB/atom.

The space group is C2/m (No. 12) and the conventional cell measures 13.444, 4.965 and 13.789 Å, with angles of 90.00, 114.11 and 90.00 degrees. Symmetry generates all atoms from Rb at (0.105, 0.000, 0.394), Rb at (0.200, 0.500, 0.124), Hg at (0.029, 0.000, 0.909), Hg at (0.116, 0.500, 0.615) and Sb at (0.057, 0.500, 0.812).

No. 15
RbHgSb3: optimized geometry, PBE.

The relative energy among the computed polymorphs comes out at 0.460 eV per atom. The value obtained for the uncorrected formation energy is 0.34 eV per atom. The raw total energy comes out at -2.3907 eV/atom. The total magnetic moment is 0.00 μB/atom.

The space group is Pm-3m (No. 221) and the conventional cell measures 5.738, 5.738 and 5.738 Å, with angles of 90.00, 90.00 and 90.00 degrees. Symmetry generates all atoms from Rb at (0.000, 0.000, 0.000), Hg at (0.500, 0.500, 0.500) and Sb at (0.000, 0.500, 0.500).

No. 16
Rb2HgSb: optimized geometry, PBE.

The relative energy among the computed polymorphs comes out at 0.049 eV per atom. The value obtained for the uncorrected formation energy is -0.27 eV per atom. The raw total energy comes out at -1.8612 eV/atom. The total magnetic moment is 0.00 μB/atom.

The space group is Cmcm (No. 63) and the conventional cell measures 11.062, 9.076 and 6.595 Å, with angles of 90.00, 90.00 and 90.00 degrees. Symmetry generates all atoms from Rb at (0.174, 0.150, 0.250), Hg at (0.000, 0.500, 0.000) and Sb at (0.000, 0.216, 0.750).

No. 17
RbHg4Sb2: optimized geometry, PBE.

The relative energy among the computed polymorphs comes out at 0.000 eV per atom. The value obtained for the uncorrected formation energy is -0.10 eV per atom. The raw total energy comes out at -1.5914 eV/atom. The total magnetic moment is 0.00 μB/atom.

The space group is Cmmm (No. 65) and the conventional cell measures 5.666, 14.333 and 5.510 Å, with angles of 90.00, 90.00 and 90.00 degrees. Symmetry generates all atoms from Rb at (0.000, 0.000, 0.000), Hg at (0.000, 0.165, 0.500), Hg at (0.000, 0.289, 0.000) and Sb at (0.000, 0.396, 0.500).

No. 18
Rb3Hg7Sb2: optimized geometry, PBE.

The value obtained for the uncorrected formation energy is -0.17 eV per atom. The raw total energy comes out at -1.2725 eV/atom. The total magnetic moment is 0.00 μB/atom.

The space group is P2/m (No. 10) and the conventional cell measures 6.483, 5.085 and 13.763 Å, with angles of 90.00, 101.04 and 90.00 degrees. Symmetry generates all atoms from Rb at (0.000, 0.000, 0.000), Rb at (0.294, 0.000, 0.626), Hg at (0.127, 0.500, 0.801), Hg at (0.178, 0.000, 0.270), Hg at (0.193, 0.500, 0.422), Hg at (0.500, 0.500, 0.000) and Sb at (0.381, 0.500, 0.183).

No. 19
RbHgSb2: optimized geometry, PBE.

The value obtained for the uncorrected formation energy is -0.07 eV per atom. The raw total energy comes out at -2.4515 eV/atom. The total magnetic moment is 0.00 μB/atom.

The space group is I-42d (No. 122) and the conventional cell measures 5.651, 5.651 and 20.118 Å, with angles of 90.00, 90.00 and 90.00 degrees. Symmetry generates all atoms from Rb at (0.000, 0.000, 0.000), Hg at (0.000, 0.000, 0.500) and Sb at (0.114, 0.250, 0.625).